GGA-PBE K2GePRh, optimized geometry; DFT formation energy = 0.263 eV per atom; uncorrected energy = -3.652 eV/atom; magnetization = 0.8 μB per formula unit
1.0
6.1345 0.0000 0.0000
0.0000 6.1345 0.0000
0.0000 0.0000 4.3312
K Ge P Rh
2 1 1 1
Cartesian
0.0000 3.0673 0.0000
3.0673 0.0000 0.0000
0.0000 0.0000 2.1656
3.0673 3.0673 0.0000
3.0673 3.0673 2.1656

=====

GGA-PBE KGePS2, optimized geometry; formation energy without anion corrections = 1.485 eV per atom; uncorrected energy = -2.391 eV/atom; magnetization = 1.8 μB per formula unit; ΔE to the lowest computed polymorph = 1399 meV/atom
1.0
5.3596 0.0000 0.0000
0.0000 5.3596 0.0000
0.0000 0.0000 5.2060
K Ge P S
1 1 1 2
Cartesian
0.0000 0.0000 0.0000
2.6798 2.6798 2.6030
0.0000 0.0000 2.6030
0.0000 2.6798 0.0000
2.6798 0.0000 0.0000

=====

GGA-PBE KGePS2, optimized geometry; formation energy without anion corrections = 0.086 eV per atom; uncorrected energy = -3.790 eV/atom; magnetization = 1.1 μB per formula unit; ΔE to the lowest computed polymorph = 0 meV/atom
1.0
4.9907 0.0000 0.0000
0.0000 4.9907 0.0000
0.0000 0.0000 4.7537
K Ge P S
1 1 1 2
Cartesian
0.0000 0.0000 0.0000
2.4954 2.4954 2.3768
2.4954 2.4954 0.0000
0.0000 2.4954 2.3768
2.4954 0.0000 2.3768

=====

GGA-PBE KGe2SbP, optimized geometry; formation energy without anion corrections = 1.590 eV per atom; uncorrected energy = -2.383 eV/atom; magnetization = 0.0 μB per formula unit
1.0
5.4009 0.0000 0.0000
0.0000 5.4009 0.0000
0.0000 0.0000 5.2868
K Ge Sb P
1 2 1 1
Cartesian
0.0000 0.0000 0.0000
0.0000 2.7005 0.0000
2.7005 0.0000 0.0000
2.7005 2.7005 2.6434
0.0000 0.0000 2.6434

=====

GGA-PBE KTc2GeP, optimized geometry; DFT formation energy = 0.863 eV per atom; uncorrected energy = -5.509 eV/atom; magnetization = 2.8 μB per formula unit
1.0
4.5134 0.0000 0.0000
0.0000 4.5134 0.0000
0.0000 0.0000 5.4454
K Tc Ge P
1 2 1 1
Cartesian
0.0000 0.0000 0.0000
0.0000 2.2567 2.7227
2.2567 0.0000 2.7227
2.2567 2.2567 0.0000
0.0000 0.0000 2.7227

=====

GGA-PBE KTiGeP2, optimized geometry; DFT formation energy = 0.535 eV per atom; uncorrected energy = -4.351 eV/atom; magnetization = 0.0 μB per formula unit
1.0
4.7318 0.0000 0.0000
0.0000 4.7318 0.0000
0.0000 0.0000 5.6313
K Ti Ge P
1 1 1 2
Cartesian
0.0000 0.0000 0.0000
0.0000 0.0000 2.8157
2.3659 2.3659 0.0000
0.0000 2.3659 2.8157
2.3659 0.0000 2.8157